Here is a relaxed PaZnGa2Pt5 crystal from the Alexandria database. Energies are from GGA-PBE.

Its crystal system is tetragonal. The energy is -0.214 hartree per atom. The calculation puts the calculated formation energy at -0.592 eV/atom.

Unit cell a=4.120 b=4.120 c=9.624 alpha=90.00 beta=90.00 gamma=90.00
Space group P4/mmm (No. 123)
Unique sites:
Pa 0.000 0.000 0.000 x1
Zn 0.000 0.000 0.500 x1
Ga 0.500 0.500 0.375 x2
Pt 0.000 0.500 0.216 x4
Pt 0.500 0.500 0.000 x1

***

Here is a relaxed Y2HgRu crystal from the Alexandria database. Energies are from GGA-PBE.

Its crystal system is tetragonal. The energy is -0.208 hartree per atom. The calculation puts the calculated formation energy at -0.029 eV/atom.

Unit cell a=7.927 b=7.927 c=6.237 alpha=90.00 beta=90.00 gamma=90.00
Space group I-42d (No. 122)
Unique sites:
Y 0.203 0.250 0.125 x8
Hg 0.000 0.000 0.500 x4
Ru 0.000 0.000 0.000 x4

***

Here is a relaxed ReSb2Cl crystal from the Alexandria database. Energies are from GGA-PBE.

For the energy above the most stable polymorph in this dataset, the calculation gives 147 meV per atom. The value obtained for the formation energy from raw total energies is 1.04 eV per formula unit. Its crystal system is orthorhombic. The energy is -0.198 hartree per atom.

Unit cell a=3.372 b=3.401 c=16.326 alpha=90.00 beta=90.00 gamma=90.00
Space group Imm2 (No. 44)
Unique sites:
Re 0.000 0.000 0.000 x2
Sb 0.000 0.000 0.416 x2
Sb 0.000 0.500 0.628 x2
Cl 0.000 0.500 0.260 x2

***

Here is a relaxed Cs2ThPd2S4 crystal from the Alexandria database. Energies are from GGA-PBE.

The value obtained for the formation energy from raw total energies is -10.40 eV per formula unit. Its crystal system is monoclinic. The energy is -0.190 hartree per atom.

Unit cell a=15.345 b=4.199 c=8.112 alpha=90.00 beta=107.07 gamma=90.00
Space group C2/m (No. 12)
Unique sites:
Cs 0.137 0.000 0.070 x4
Th 0.000 0.000 0.500 x2
Pd 0.194 0.500 0.518 x4
S 0.015 0.500 0.280 x4
S 0.192 0.000 0.653 x4

***

Here is a relaxed CdSiRhCl crystal from the Alexandria database. Energies are from GGA-PBE.

For the energy above the most stable polymorph in this dataset, the calculation gives 4 meV per atom. The value obtained for the formation energy from raw total energies is -2.10 eV per formula unit. Its crystal system is monoclinic. The energy is -0.162 hartree per atom.

Unit cell a=15.969 b=3.058 c=3.118 alpha=90.00 beta=100.95 gamma=90.00
Space group Cm (No. 8)
Unique sites:
Cd 0.000 0.000 0.000 x2
Si 0.304 0.500 0.808 x2
Rh 0.373 0.000 0.376 x2
Cl 0.170 0.500 0.677 x2

***

Here is a relaxed Pm8CuRh3Br4 crystal from the Alexandria database. Energies are from GGA-PBE.

The value obtained for the formation energy from raw total energies is -15.58 eV per formula unit. Its crystal system is monoclinic. The energy is -0.199 hartree per atom.

Unit cell a=14.264 b=8.236 c=9.104 alpha=90.00 beta=121.53 gamma=90.00
Space group C2/m (No. 12)
Unique sites:
Pm 0.019 0.246 0.305 x8
Pm 0.233 0.000 0.698 x4
Pm 0.234 0.500 0.695 x4
Cu 0.000 0.500 0.500 x2
Rh 0.000 0.000 0.500 x2
Rh 0.250 0.250 0.500 x4
Br 0.000 0.000 0.000 x2
Br 0.000 0.500 0.000 x2
Br 0.250 0.250 0.000 x4

***

Here is a relaxed CdCo2As crystal from the Alexandria database. Energies are from GGA-PBE.

For the energy above the most stable polymorph in this dataset, the calculation gives 191 meV per atom. Its crystal system is orthorhombic. The energy is -0.172 hartree per atom. The calculation puts the calculated formation energy at 0.272 eV/atom.

Unit cell a=6.063 b=6.071 c=3.068 alpha=90.00 beta=90.00 gamma=90.00
Space group Cmmm (No. 65)
Unique sites:
Cd 0.000 0.000 0.000 x2
Co 0.250 0.250 0.500 x4
As 0.000 0.500 0.000 x2

***

Here is a relaxed Dy2ScAg6 crystal from the Alexandria database. Energies are from GGA-PBE.

Its crystal system is monoclinic. The energy is -0.142 hartree per atom. The calculation puts the calculated formation energy at -0.235 eV/atom.

Unit cell a=5.243 b=15.901 c=5.232 alpha=90.00 beta=119.56 gamma=90.00
Space group C2/m (No. 12)
Unique sites:
Dy 0.000 0.164 0.000 x4
Sc 0.000 0.000 0.500 x2
Ag 0.159 0.500 0.822 x4
Ag 0.169 0.337 0.337 x8

***

Here is a relaxed Nd2Ga3CuPd4 crystal from the Alexandria database. Energies are from GGA-PBE.

Its crystal system is tetragonal. The energy is -0.186 hartree per atom. The calculation puts the calculated formation energy at -0.719 eV/atom.

Unit cell a=4.318 b=4.318 c=10.330 alpha=90.00 beta=90.00 gamma=90.00
Space group P-4m2 (No. 115)
Unique sites:
Nd 0.000 0.500 0.247 x2
Ga 0.000 0.000 0.000 x1
Ga 0.000 0.500 0.628 x2
Cu 0.500 0.500 0.000 x1
Pd 0.000 0.000 0.500 x1
Pd 0.000 0.500 0.868 x2
Pd 0.500 0.500 0.500 x1

***

Here is a relaxed Tc2OF2 crystal from the Alexandria database. Energies are from GGA-PBE.

The value obtained for the formation energy from raw total energies is -5.24 eV per formula unit. Its crystal system is tetragonal. The energy is -0.255 hartree per atom.

Unit cell a=5.452 b=5.452 c=4.089 alpha=90.00 beta=90.00 gamma=90.00
Space group P4/mbm (No. 127)
Unique sites:
Tc 0.156 0.344 0.000 x4
O 0.000 0.000 0.000 x2
F 0.180 0.320 0.500 x4

***

Here is a relaxed MgF3 crystal from the Alexandria database. Energies are from GGA-PBE.

The value obtained for the formation energy from raw total energies is -9.40 eV per formula unit. Its crystal system is trigonal. The energy is -0.153 hartree per atom.

Unit cell a=3.1937 b=3.1937 c=18.6491 alpha=90.00 beta=90.00 gamma=120.00
Space group R-3m (No. 166, hexagonal axes)
Unique sites:
Mg 0.0000 0.0000 0.0000 x3
F 0.0000 0.0000 0.3804 x6
F 0.0000 0.0000 0.5000 x3

***

Here is a relaxed Pm7TlRu2 crystal from the Alexandria database. Energies are from GGA-PBE.

Its crystal system is orthorhombic. The energy is -0.201 hartree per atom. The calculation puts the calculated formation energy at -0.049 eV/atom.

Unit cell a=9.127 b=13.929 c=5.297 alpha=90.00 beta=90.00 gamma=90.00
Space group Cmmm (No. 65)
Unique sites:
Pm 0.000 0.000 0.000 x2
Pm 0.000 0.220 0.500 x4
Pm 0.185 0.370 0.000 x8
Tl 0.000 0.500 0.500 x2
Ru 0.000 0.198 0.000 x4

***

Number 1: volume 163.33 Å³/cell. Number 2: volume 391.93 Å³/cell. Number 3: volume 187.19 Å³/cell. Number 4: volume 499.61 Å³/cell. Number 5: volume 149.50 Å³/cell. Number 6: volume 911.68 Å³/cell. Number 7: volume 112.92 Å³/cell. Number 8: volume 379.45 Å³/cell. Number 9: volume 192.65 Å³/cell. Number 10: volume 121.53 Å³/cell. Number 11: volume 164.73 Å³/cell. Number 12: volume 673.32 Å³/cell.